Record 1
This record from Alexandria via LeMat-Bulk describes ZrZnBr at its PBEsol-relaxed geometry. The functional is meta-GGA SCAN.

Output
- Relative energy among the computed polymorphs: 0.0 meV/atom
- Formation energy from raw total energies: -472 meV per atom
- Space-group type: No. 156
- D(E_F): 0.860 states/eV per atom
- Calculated total energy: -65.09 eV per cell

Cell lengths 3.328, 3.328, 6.798 Å; angles 90.00, 90.00, 120.00 degrees
Fractional coordinates of all 3 atoms:
Zr1 0.667 0.333 0.326
Br1 0.000 0.000 0.045
Zn1 0.333 0.667 0.629

---

Record 2
This record from Alexandria via LeMat-Bulk describes Li4Ti3Mn5O16 at its PBEsol-relaxed geometry. The functional is meta-GGA SCAN.

Output
- Formation energy from raw total energies: -2566 meV per atom
- Space-group type: No. 8
- D(E_F): 0.144 states/eV per atom
- Calculated total energy: -320.48 eV per cell

Cell lengths 5.729, 5.729, 9.553 Å; angles 88.53, 88.53, 60.40 degrees
Fractional coordinates of all 28 atoms:
O1 0.512 0.512 0.825
O2 0.477 0.477 0.338
O3 0.683 0.167 0.601
O4 0.001 0.001 0.813
O5 0.000 0.000 0.314
O6 0.335 0.335 0.102
O7 0.957 0.510 0.835
O8 0.474 0.030 0.336
O9 0.168 0.168 0.609
O10 0.510 0.957 0.835
O11 0.167 0.683 0.601
O12 0.665 0.665 0.605
O13 0.842 0.842 0.101
O14 0.330 0.843 0.104
O15 0.030 0.474 0.336
O16 0.843 0.330 0.104
Mn1 0.830 0.339 0.713
Mn2 0.335 0.335 0.494
Mn3 0.339 0.830 0.713
Mn4 0.664 0.664 0.986
Mn5 0.169 0.169 0.215
Li1 0.014 0.014 0.996
Li2 0.016 0.016 0.497
Li3 0.326 0.326 0.891
Li4 0.659 0.659 0.398
Ti1 0.162 0.660 0.215
Ti2 0.660 0.162 0.215
Ti3 0.832 0.832 0.713